Density functional theory data (PBE) for a relaxed K2TaV2Se6 crystal. Values from VASP.

Computed properties:
Volume (Å³ per atom): 24.48
Energy relative to the elements, uncorrected (meV/atom): -863
Symmetry: C2/m, No. 12
Total moment (μB per atom): 0.067

The structure in Quantum ESPRESSO input format:
```
&SYSTEM
  ibrav = 0, nat = 11, ntyp = 4
/
ATOMIC_SPECIES
K 39.10 K.upf
Ta 180.95 Ta.upf
V 50.94 V.upf
Se 78.96 Se.upf
ATOMIC_POSITIONS angstrom
K 3.076 3.534 0.000
K 3.076 -3.534 0.000
Ta -0.812 0.000 4.056
V 2.264 1.410 4.056
V 2.264 -1.410 4.056
Se 0.257 1.885 5.494
Se 1.242 0.000 2.354
Se 0.257 -1.885 5.494
Se 4.270 1.885 2.618
Se 3.285 0.000 5.758
Se 4.270 -1.885 2.618
CELL_PARAMETERS angstrom
3.076 -5.396 0.000
3.076 5.396 0.000
-1.625 0.000 8.112
```